Computed, not measured: a relaxed YTe crystal at the GGA-PBE level of DFT.

ΔE_f (raw) = -1.062 eV/atom

Geometry as extended XYZ:
```
12
Lattice="4.348 0.000 0.000 0.000 7.144 0.000 0.000 0.000 14.592" Properties=species:S:1:pos:R:3 pbc="T T T"
Te 2.174 1.764 4.355
Y 2.174 0.056 12.757
Y 2.174 0.056 1.835
Te 0.000 4.667 7.296
Y 0.000 7.089 5.461
Te 0.000 5.380 2.941
Te 0.000 5.380 11.651
Te 2.174 1.764 10.237
Y 2.174 2.503 7.296
Y 0.000 7.089 9.131
Te 2.174 2.477 0.000
Y 0.000 4.641 0.000
```

Computed, not measured: a relaxed TbEr2Sn crystal at the GGA-PBE level of DFT.

E above lowest polymorph = 142 meV/atom
Formation enthalpy at 0 K = -267 meV/atom

Geometry as extended XYZ:
```
8
Lattice="-1.953 2.832 -4.219 0.471 -6.750 -1.236 -6.313 -0.869 2.340" Properties=species:S:1:pos:R:3 pbc="T T T"
Sn -1.754 -2.068 -0.576
Er -1.224 -0.005 -2.949
Er -6.572 -4.782 -0.167
Sn -6.042 -2.719 -2.539
Er -3.643 -4.379 -1.253
Tb -2.991 -3.398 -4.408
Er -4.153 -0.408 -1.863
Tb -4.805 -1.389 1.292
```

Computed, not measured: a relaxed AlV2GaB crystal at the GGA-PBE level of DFT.

Formation enthalpy at 0 K = 1267 meV/atom

Geometry as extended XYZ:
```
5
Lattice="-3.007 -2.304 2.691 -1.811 -1.269 -3.111 2.773 -3.728 -0.094" Properties=species:S:1:pos:R:3 pbc="T T T"
V 1.386 -1.864 -0.047
V -1.503 -1.152 1.345
B -0.906 -0.635 -1.555
Ga -1.023 -3.651 -0.257
Al 0.000 0.000 0.000
```

Results for D(E_F): 0.5400, 1.0925, 1.0069 (in states/eV per atom, following the order of the records).